The following is a DFT calculation (PBE+U) of crystalline NbVTcO6 at its relaxed geometry.

Output
calculated total energy	-8.3336	eV per atom
V	11.28	A^3/atom

Unit cell a=5.1234 b=5.1234 c=8.9278 alpha=90.00 beta=90.00 gamma=120.00
With the nearest neighbours (Å) after each atom.
Positions (direct):
1 O 0.6671 0.6713 0.6274  1 Nb 2.02, 1 Tc 2.04, 1 V 2.05
2 O 0.6713 0.6671 0.1274  1 Nb 2.02, 1 Tc 2.04, 1 V 2.05
3 O 0.3287 0.9958 0.6274  1 Nb 2.02, 1 Tc 2.04, 1 V 2.05
4 O 0.9957 0.6671 0.3726  1 Nb 2.02, 1 Tc 2.04, 1 V 2.05
5 O 0.3329 0.3287 0.3726  1 Nb 2.02, 1 Tc 2.04, 1 V 2.05
6 Nb 0.6667 0.3333 0.2500  6 O 2.02
7 O 0.9957 0.3287 0.1274  1 Nb 2.02, 1 Tc 2.04, 1 V 2.05
8 V 0.3333 0.6667 0.2500  6 O 2.05
9 O 0.6671 0.9958 0.8726  1 Nb 2.02, 1 Tc 2.04, 1 V 2.05
10 O 0.0043 0.3329 0.6274  1 Nb 2.02, 1 Tc 2.04, 1 V 2.05
11 O 0.0043 0.6713 0.8726  1 Nb 2.02, 1 Tc 2.04, 1 V 2.05
12 O 0.3329 0.0042 0.1274  1 Nb 2.02, 1 Tc 2.04, 1 V 2.05
13 Tc 0.0000 0.0000 0.0000  6 O 2.04
14 Tc 0.0000 0.0000 0.5000  6 O 2.04
15 V 0.6667 0.3333 0.7500  6 O 2.05
16 Nb 0.3333 0.6667 0.7500  6 O 2.02
17 O 0.6713 0.0042 0.3726  1 Nb 2.02, 1 Tc 2.04, 1 V 2.05
18 O 0.3287 0.3329 0.8726  1 Nb 2.02, 1 Tc 2.04, 1 V 2.05